The following is a GGA+U calculation of a relaxed LiFe2F9 crystal, from Alexandria.

Calculated values
Relative energy among the computed polymorphs ... 0 meV per atom
Size of the total moment ... 15.98 Bohr magnetons per cell
Space-group type ... P-1 (2)

Cell: 5.5422 7.5499 8.9712 Å, 105.06 86.23 110.11°
Site moments in Bohr magnetons follow the coordinates.
Fractional coordinates of all 24 atoms:
1 F 0.2972 0.3068 0.9165  0.10
2 F 0.0519 0.1287 0.6551  -0.03
3 F 0.5631 0.7331 0.5200  0.03
4 F 0.5207 0.9355 0.3155  0.10
5 F 0.1838 0.8286 0.8682  0.01
6 F 0.0958 0.7215 0.5789  -0.01
7 F 0.6528 0.8497 0.8136  0.01
8 F 0.2740 0.5061 0.7059  0.08
9 F 0.7028 0.6932 0.0835  0.10
10 F 0.8162 0.1714 0.1318  0.01
11 F 0.6942 0.4429 0.7533  -0.01
12 F 0.9042 0.2785 0.4211  -0.01
13 F 0.4369 0.2669 0.4800  0.03
14 F 0.9481 0.8713 0.3449  -0.03
15 F 0.4793 0.0645 0.6845  0.10
16 F 0.3058 0.5571 0.2467  -0.01
17 F 0.3472 0.1503 0.1864  0.01
18 F 0.7260 0.4939 0.2941  0.08
19 Li 0.8231 0.7049 0.8872  0.00
20 Li 0.1769 0.2951 0.1128  0.00
21 Fe 0.3703 0.7860 0.6954  3.83
22 Fe 0.3662 0.2839 0.7095  3.84
23 Fe 0.6338 0.7161 0.2905  3.84
24 Fe 0.6297 0.2140 0.3046  3.83